Version A
## LiPaSb (PBE)

Data for crystalline LiPaSb at its relaxed geometry.

Summary:
The density of states at the Fermi level is 3.40 states/eV/f.u. As for the crystal system: orthorhombic.

a b c (Å): 4.2248 15.7146 4.2822
angles (deg): 90.00 90.00 90.00
With the nearest neighbours (Å) after each atom.
Space group Cmcm (No. 63)
Inequivalent atoms, fractional coordinates:
Li 0.0000 0.0721 0.2500  4 Sb 3.03, 2 Li 3.12
Pa 0.0000 0.2477 0.7500  4 Pa 3.01, 4 Sb 3.16-3.24
Sb 0.0000 0.4021 0.2500  4 Li 3.03, 4 Pa 3.16-3.24


Version B
## LiPaSb (PBE)

Data for crystalline LiPaSb at its relaxed geometry.

Summary:
The density of states at the Fermi level is 5.06 states/eV/f.u. As for the crystal system: tetragonal.

a b c (Å): 3.4199 3.4199 11.4928
angles (deg): 90.00 90.00 90.00
With the nearest neighbours (Å) after each atom.
Space group I4mm (No. 107)
Inequivalent atoms, fractional coordinates:
Li 0.0000 0.0000 0.0000  4 Sb 2.77
Pa 0.0000 0.0000 0.6898  5 Li 3.26-3.56, 5 Sb 3.27-3.54, 4 Pa 3.42
Sb 0.0000 0.0000 0.3819  4 Li 2.77


Version C
## LiPaSb (PBE)

Data for crystalline LiPaSb at its relaxed geometry.

Summary:
The density of states at the Fermi level is 5.87 states/eV/f.u. As for the crystal system: hexagonal.

a b c (Å): 4.4372 4.4372 4.0052
angles (deg): 90.00 90.00 120.00
With the nearest neighbours (Å) after each atom.
Space group P-6m2 (No. 187)
Inequivalent atoms, fractional coordinates:
Li 0.0000 0.0000 0.0000  3 Sb 2.56
Pa 0.6667 0.3333 0.5000  6 Li 3.25, 6 Sb 3.25
Sb 0.3333 0.6667 0.0000  3 Li 2.56


If we sort the structures by their calculated energies, the order from most to least stable is version A, version C, version B.


Version A
## LiPaSb2 (PBE)

Data for crystalline LiPaSb2 at its relaxed geometry.

Summary:
The density of states at the Fermi level is 0.26 states/eV/f.u. As for the crystal system: trigonal.

a b c (Å): 4.3829 4.3829 20.4457
angles (deg): 90.00 90.00 120.00
With the nearest neighbours (Å) after each atom.
Space group R3m (No. 160, hexagonal axes)
Inequivalent atoms, fractional coordinates:
Li 0.0000 0.0000 0.0000  6 Sb 2.93-3.15
Pa 0.0000 0.0000 0.1766  6 Sb 3.06-3.07
Sb 0.0000 0.0000 0.5941  3 Li 2.93, 3 Pa 3.06
Sb 0.0000 0.0000 0.7582  3 Pa 3.07, 3 Li 3.15, 1 Sb 3.36


Version B
## LiPaSb2 (PBE)

Data for crystalline LiPaSb2 at its relaxed geometry.

Summary:
As for the crystal system: trigonal.

a b c (Å): 4.3237 4.3237 7.0528
angles (deg): 90.00 90.00 120.00
With the nearest neighbours (Å) after each atom.
Space group P-3m1 (No. 164)
Inequivalent atoms, fractional coordinates:
Li 0.0000 0.0000 0.0000  6 Sb 3.04
Pa 0.0000 0.0000 0.5000  6 Sb 3.07
Sb 0.3333 0.6667 0.2463  3 Li 3.04, 3 Pa 3.07


Version C
## LiPaSb2 (PBE)

Data for crystalline LiPaSb2 at its relaxed geometry.

Summary:
The density of states at the Fermi level is 2.21 states/eV/f.u. As for the crystal system: cubic.

a b c (Å): 7.3484 7.3484 7.3484
angles (deg): 90.00 90.00 90.00
With the nearest neighbours (Å) after each atom.
Space group Fm-3m (No. 225)
Inequivalent atoms, fractional coordinates:
Li 0.0000 0.0000 0.0000  8 Sb 3.18
Pa 0.0000 0.0000 0.5000  8 Sb 3.18
Sb 0.2500 0.2500 0.2500  4 Li 3.18, 4 Pa 3.18


Version D
## LiPaSb2 (PBE)

Data for crystalline LiPaSb2 at its relaxed geometry.

Summary:
The density of states at the Fermi level is 2.81 states/eV/f.u. As for the crystal system: tetragonal.

a b c (Å): 4.9257 4.9257 3.9611
angles (deg): 90.00 90.00 90.00
With the nearest neighbours (Å) after each atom.
Space group P4/mmm (No. 123)
Inequivalent atoms, fractional coordinates:
Li 0.0000 0.0000 0.0000  8 Sb 3.16, 4 Pa 3.48
Pa 0.5000 0.5000 0.0000  8 Sb 3.16, 4 Li 3.48
Sb 0.0000 0.5000 0.5000  4 Li 3.16, 4 Pa 3.16, 4 Sb 3.48


If we sort the structures by their calculated energies, the order from most to least stable is version D, version A, version C, version B.


Version A
## LiScPa (PBE)

Data for crystalline LiScPa at its relaxed geometry.

Summary:
The density of states at the Fermi level is 5.27 states/eV/f.u. As for the crystal system: trigonal.

a b c (Å): 3.1568 3.1568 8.2361
angles (deg): 90.00 90.00 120.00
With the nearest neighbours (Å) after each atom.
Space group P3m1 (No. 156)
Inequivalent atoms, fractional coordinates:
Li 0.0000 0.0000 0.0000  6 Li 3.16, 3 Sc 3.25, 3 Pa 3.38
Sc 0.3333 0.6667 0.6726  6 Sc 3.16, 3 Pa 3.25, 3 Li 3.25
Pa 0.6667 0.3333 0.3459  6 Pa 3.16, 3 Sc 3.25, 3 Li 3.38


Version B
## LiScPa (PBE)

Data for crystalline LiScPa at its relaxed geometry.

Summary:
The density of states at the Fermi level is 6.51 states/eV/f.u. As for the crystal system: trigonal.

a b c (Å): 5.0175 5.0175 23.5294
angles (deg): 90.00 90.00 120.00
With the nearest neighbours (Å) after each atom.
Space group R-3m (No. 166, hexagonal axes)
Inequivalent atoms, fractional coordinates:
Li 0.0000 0.0000 0.2067  1 Pa 3.13, 4 Sc 3.25-3.37, 3 Li 3.46
Sc 0.0000 0.0000 0.0636  1 Sc 3.00, 6 Pa 3.20-3.33, 3 Li 3.25
Pa 0.0000 0.0000 0.3396  3 Pa 2.91, 1 Li 3.13, 3 Sc 3.20


If we sort the structures by their calculated energies, the order from most to least stable is version A, version B.